Record 1
LaAg3O | PBE | relaxed

Structure (POSCAR):
```
LaAg3O
1.0
-3.675 -0.265 -2.920
2.456 -2.836 -2.834
-1.601 -3.741 2.355
Ag O La
3 1 1
direct
0.000 0.000 0.500
0.000 0.500 0.000
0.500 0.000 0.000
0.000 0.000 0.000
0.500 0.500 0.500
```

## Properties
Raw formation energy ... 0.02 eV/atom
Density of states at the Fermi level ... 1.948 states/eV per cell
Offset from the most stable computed form ... 0 meV per atom
SG ... Pm-3m (221)
DFT total energy ... -3.665 eV per atom

Record 2
Y2Er3Hg4 | PBE | relaxed

Structure (POSCAR):
```
Y2Er3Hg4
1.0
6.912 0.000 0.000
0.000 7.972 0.000
-3.456 0.000 8.934
Er Hg Y
6 8 4
direct
0.500 0.500 0.000
0.000 0.000 0.000
0.488 0.250 0.476
0.512 0.750 0.524
0.012 0.750 0.524
0.988 0.250 0.476
0.667 0.534 0.333
0.316 0.250 0.133
0.816 0.250 0.133
0.167 0.966 0.333
0.833 0.034 0.667
0.184 0.750 0.867
0.333 0.466 0.667
0.684 0.750 0.867
0.404 0.089 0.809
0.096 0.589 0.191
0.596 0.911 0.191
0.904 0.411 0.809
```

## Properties
Density of states at the Fermi level ... 14.251 states/eV per cell
Formation enthalpy at 0 K ... -0.3464 eV per atom
SG ... Cmce (64)
DFT total energy ... -3.438 eV per atom

Record 3
La3Ho2ErTe6 | PBE | relaxed

Structure (POSCAR):
```
La3Ho2ErTe6
1.0
4.405 0.000 0.000
0.000 9.015 0.195
-2.203 -2.729 9.383
Er Te Ho La
1 6 2 3
direct
0.500 0.000 0.000
0.338 0.907 0.676
0.662 0.093 0.324
0.329 0.427 0.659
0.004 0.238 0.008
0.996 0.762 0.992
0.671 0.573 0.341
0.833 0.666 0.666
0.167 0.334 0.334
0.167 0.833 0.334
0.500 0.500 0.000
0.833 0.167 0.666
```

## Properties
Raw formation energy ... -1.42 eV/atom
Density of states at the Fermi level ... 6.927 states/eV per cell
SG ... C2/m (12)
DFT total energy ... -5.369 eV per atom

Record 4
Pr2GaMo | PBE | relaxed

Structure (POSCAR):
```
Pr2GaMo
1.0
3.233 0.000 0.000
1.616 2.800 0.000
1.616 0.933 11.040
Ga Mo Pr
1 1 2
direct
0.500 0.500 0.500
0.000 0.000 0.000
0.087 0.087 0.738
0.913 0.913 0.262
```

## Properties
Density of states at the Fermi level ... 6.791 states/eV per cell
Formation enthalpy at 0 K ... 0.6369 eV per atom
SG ... R-3m (166)
DFT total energy ... -5.217 eV per atom

Record 5
NbTeIr2 | PBE | relaxed

Structure (POSCAR):
```
NbTeIr2
1.0
-4.607 -0.650 -3.685
1.587 -5.632 -0.991
-4.756 -4.822 2.017
Te Ir Nb
2 4 2
direct
0.000 0.000 0.000
0.750 0.250 0.500
0.875 0.867 0.750
0.617 0.125 0.250
0.133 0.625 0.250
0.375 0.383 0.750
0.500 0.500 0.000
0.250 0.750 0.500
```

## Properties
Raw formation energy ... 0.38 eV/atom
Density of states at the Fermi level ... 7.898 states/eV per cell
SG ... I-42d (122)
DFT total energy ... -7.357 eV per atom

Record 6
BaCa2MnI8 | PBE | relaxed

Structure (POSCAR):
```
BaCa2MnI8
1.0
-2.012 6.122 -4.052
1.718 -3.316 -6.179
-8.872 -3.356 -0.666
I Ca Mn Ba
8 2 1 1
direct
0.158 0.765 0.212
0.360 0.278 0.500
0.842 0.235 0.788
0.842 0.235 0.212
0.158 0.765 0.788
0.672 0.748 0.000
0.640 0.722 0.500
0.328 0.252 0.000
0.500 0.500 0.234
0.500 0.500 0.766
0.000 0.000 0.000
0.000 0.000 0.500
```

## Properties
Raw formation energy ... -1.30 eV/atom
Density of states at the Fermi level ... 0.000 states/eV per cell
SG ... P2/m (10)
DFT total energy ... -3.587 eV per atom

Record 7
V2InC | PBE | relaxed

Structure (POSCAR):
```
V2InC
1.0
-2.168 5.858 0.849
-3.585 -0.580 -5.153
-5.045 1.601 -0.527
C V In
2 4 2
direct
0.250 0.750 0.500
0.500 0.500 0.000
0.875 0.778 0.750
0.375 0.472 0.750
0.222 0.625 0.250
0.528 0.125 0.250
0.750 0.250 0.500
0.000 0.000 0.000
```

## Properties
Density of states at the Fermi level ... 7.610 states/eV per cell
Offset from the most stable computed form ... 710 meV per atom
Formation enthalpy at 0 K ... 0.3605 eV per atom
SG ... I-42d (122)
DFT total energy ... -7.189 eV per atom

Record 8
Li2Ac3GePd6 | PBE | relaxed

Structure (POSCAR):
```
Li2Ac3GePd6
1.0
5.944 0.000 0.000
-2.972 5.148 0.000
0.000 0.000 8.717
Pd Li Ge Ac
6 2 1 3
direct
0.826 0.653 0.723
0.653 0.826 0.277
0.347 0.174 0.723
0.826 0.174 0.723
0.174 0.826 0.277
0.174 0.347 0.277
0.333 0.667 0.030
0.667 0.333 0.970
0.000 0.000 0.500
0.333 0.667 0.613
0.000 0.000 0.000
0.667 0.333 0.387
```

## Properties
Density of states at the Fermi level ... 5.435 states/eV per cell
Formation enthalpy at 0 K ... -0.6574 eV per atom
SG ... P-3m1 (164)
DFT total energy ... -4.985 eV per atom

Record 9
TmMgBi2 | PBE | relaxed

Structure (POSCAR):
```
TmMgBi2
1.0
-0.527 3.748 -1.394
-0.466 -1.454 -3.733
-6.762 -0.555 1.061
Mg Bi Tm
1 2 1
direct
0.500 0.500 0.000
0.000 0.000 0.253
0.000 0.000 0.747
0.500 0.500 0.500
```

## Properties
Density of states at the Fermi level ... 2.871 states/eV per cell
Offset from the most stable computed form ... 51 meV per atom
Formation enthalpy at 0 K ... -0.3492 eV per atom
SG ... P4/mmm (123)
DFT total energy ... -3.806 eV per atom

Record 10
CaPm2Pr4Y2 | PBE | relaxed

Structure (POSCAR):
```
CaPm2Pr4Y2
1.0
-0.563 2.869 -4.336
4.250 -6.842 -1.926
-7.977 -1.866 -0.199
Pr Pm Y Ca
4 2 2 1
direct
0.775 0.550 0.665
0.557 0.113 0.343
0.443 0.887 0.657
0.225 0.450 0.335
0.887 0.773 0.336
0.113 0.227 0.664
0.329 0.657 0.002
0.671 0.343 0.998
0.000 0.000 0.000
```

## Properties
Density of states at the Fermi level ... 13.812 states/eV per cell
Formation enthalpy at 0 K ... 0.0384 eV per atom
SG ... C2/m (12)
DFT total energy ... -4.800 eV per atom

> What is the DFT total energy in the sixth record?

-3.587 eV per atom